(1)
This record from Alexandria via LeMat-Bulk describes crystalline Cr3HOs at its relaxed geometry. The functional is PBEsol.

The calculation puts the total DFT energy (no corrections) at -45.81 eV for the cell shown.

The structure belongs to space group Pm-3m (No. 221); the cell edges are 3.6785, 3.6785 and 3.6785 Å and the angles 90.00°, 90.00° and 90.00°. The distinct sites, in fractional coordinates, are Cr at (0.0000, 0.0000, 0.5000), H at (0.0000, 0.0000, 0.0000) and Os at (0.5000, 0.5000, 0.5000).


(2)
This record from Alexandria via LeMat-Bulk describes crystalline Cr3PH at its relaxed geometry. The functional is PBEsol.

The calculation puts the total DFT energy (no corrections) at -33.37 eV for the cell shown.

The structure belongs to space group Pm-3m (No. 221); the cell edges are 4.3304, 4.3304 and 4.3304 Å and the angles 90.00°, 90.00° and 90.00°. The distinct sites, in fractional coordinates, are Cr at (0.0000, 0.0000, 0.5000), P at (0.0000, 0.0000, 0.0000) and H at (0.5000, 0.5000, 0.5000).


(3)
This record from Alexandria via LeMat-Bulk describes crystalline Cr2PH2 at its relaxed geometry. The functional is PBEsol.

The calculation puts the total DFT energy (no corrections) at -67.69 eV for the cell shown.

The structure belongs to space group I4/mmm (No. 139); the cell edges are 2.8252, 2.8252 and 9.5323 Å and the angles 90.00°, 90.00° and 90.00°. The distinct sites, in fractional coordinates, are Cr at (0.0000, 0.0000, 0.1390), P at (0.0000, 0.0000, 0.5000) and H at (0.0000, 0.5000, 0.2500).


(4)
This record from Alexandria via LeMat-Bulk describes crystalline Y2CrPH at its relaxed geometry. The functional is PBEsol.

The calculation puts the total DFT energy (no corrections) at -31.99 eV for the cell shown.

The structure belongs to space group P4/mmm (No. 123); the cell edges are 5.4350, 5.4350 and 3.4584 Å and the angles 90.00°, 90.00° and 90.00°. The distinct sites, in fractional coordinates, are Y at (0.0000, 0.5000, 0.0000), Cr at (0.0000, 0.0000, 0.5000), P at (0.5000, 0.5000, 0.0000) and H at (0.5000, 0.5000, 0.5000).


(5)
This record from Alexandria via LeMat-Bulk describes crystalline CrH2Pb at its relaxed geometry. The functional is PBEsol.

The calculation puts the total DFT energy (no corrections) at -68.71 eV for the cell shown.

The structure belongs to space group Fm-3m (No. 225); the cell edges are 5.8292, 5.8292 and 5.8292 Å and the angles 90.00°, 90.00° and 90.00°. The distinct sites, in fractional coordinates, are Cr at (0.0000, 0.0000, 0.0000), H at (0.2500, 0.2500, 0.2500) and Pb at (0.0000, 0.0000, 0.5000).


(6)
This record from Alexandria via LeMat-Bulk describes crystalline Cr3HPb at its relaxed geometry. The functional is PBEsol.

The calculation puts the total DFT energy (no corrections) at -27.64 eV for the cell shown.

The structure belongs to space group Pm-3m (No. 221); the cell edges are 5.2353, 5.2353 and 5.2353 Å and the angles 90.00°, 90.00° and 90.00°. The distinct sites, in fractional coordinates, are Cr at (0.0000, 0.0000, 0.5000), H at (0.5000, 0.5000, 0.5000) and Pb at (0.0000, 0.0000, 0.0000).


(7)
This record from Alexandria via LeMat-Bulk describes crystalline CrH2Pt2 at its relaxed geometry. The functional is PBEsol.

The calculation puts the total DFT energy (no corrections) at -61.66 eV for the cell shown.

The structure belongs to space group P4/mbm (No. 127); the cell edges are 5.2841, 5.2841 and 3.7215 Å and the angles 90.00°, 90.00° and 90.00°. The distinct sites, in fractional coordinates, are Cr at (0.0000, 0.0000, 0.0000), H at (0.1707, 0.3293, 0.0000) and Pt at (0.1825, 0.3175, 0.5000).


(8)
This record from Alexandria via LeMat-Bulk describes crystalline Cr2H2Pt at its relaxed geometry. The functional is PBEsol.

The calculation puts the total DFT energy (no corrections) at -67.38 eV for the cell shown.

The structure belongs to space group I4/mmm (No. 139); the cell edges are 3.2727, 3.2727 and 8.1103 Å and the angles 90.00°, 90.00° and 90.00°. The distinct sites, in fractional coordinates, are Cr at (0.0000, 0.0000, 0.1642), H at (0.0000, 0.5000, 0.2500) and Pt at (0.0000, 0.0000, 0.5000).


Copy entry 8 word for word.
This record from Alexandria via LeMat-Bulk describes crystalline Cr2H2Pt at its relaxed geometry. The functional is PBEsol.

The calculation puts the total DFT energy (no corrections) at -67.38 eV for the cell shown.

The structure belongs to space group I4/mmm (No. 139); the cell edges are 3.2727, 3.2727 and 8.1103 Å and the angles 90.00°, 90.00° and 90.00°. The distinct sites, in fractional coordinates, are Cr at (0.0000, 0.0000, 0.1642), H at (0.0000, 0.5000, 0.2500) and Pt at (0.0000, 0.0000, 0.5000).